{"formula": "Na3WF", "functional": "PBE+U", "state": "relaxed", "cell": [[4.8698, 0.0000, 0.0000], [0.0000, 4.8698, 0.0000], [0.0000, 0.0000, 4.8698]], "species": ["Na", "Na", "Na", "W", "F"], "frac_coords": [[0.0000, 0.0000, 0.5000], [0.0000, 0.5000, 0.0000], [0.5000, 0.0000, 0.0000], [0.5000, 0.5000, 0.5000], [0.0000, 0.0000, 0.0000]], "e_above_lowest_polymorph_ev_per_fu": 0.00, "total_magnetization_mub_per_cell": 5.57, "vol_a3_per_cell": 115}